# Ca3CoCl2F6

A geometry-optimized Ca3CoCl2F6 structure (PBE with a Hubbard U, Alexandria).

## Properties
SG: C2/m (12)
uncorrected energy: -5.1382 eV/atom

Cell: 6.921 6.921 5.388 Å, 97.63 97.63 59.72°
Positions (direct):
Ca1 0.000 0.000 0.000
Ca2 0.000 0.500 0.500
Ca3 0.500 0.000 0.500
Co1 0.500 0.500 0.500
Cl1 0.202 0.202 0.849
Cl2 0.798 0.798 0.151
F1 0.183 0.687 0.705
F2 0.313 0.817 0.295
F3 0.338 0.338 0.348
F4 0.662 0.662 0.652
F5 0.687 0.183 0.705
F6 0.817 0.313 0.295